# 1
CeBeRu after structural relaxation, computed with PBE-GGA.

As for the excess energy over the best structure of this formula in the dataset: 0.22 eV/f.u. As for the formation energy: -22 kJ per mole of atoms. The crystal system is hexagonal.

It has space group P-6m2 (No. 187), with a = 3.9894 Å, b = 3.9894 Å, c = 3.8811 Å, α = 90.00°, β = 90.00° and γ = 120.00°. The distinct sites, in fractional coordinates, are Ce at (0.0000, 0.0000, 0.0000), Be at (0.3333, 0.6667, 0.5000) and Ru at (0.6667, 0.3333, 0.5000).

***

# 2
CeBeRu after structural relaxation, computed with PBE-GGA.

As for the excess energy over the best structure of this formula in the dataset: 0.00 eV/f.u. As for the formation energy: -29 kJ per mole of atoms. The crystal system is orthorhombic.

It has space group Pnma (No. 62), with a = 6.989 Å, b = 4.445 Å, c = 6.490 Å, α = 90.00°, β = 90.00° and γ = 90.00°. The distinct sites, in fractional coordinates, are Ce at (0.030, 0.250, 0.179), Be at (0.184, 0.250, 0.616) and Ru at (0.148, 0.750, 0.456).

***

# 3
Ce2BeRu after structural relaxation, computed with PBE-GGA.

As for the formation energy: 55 kJ per mole of atoms. The crystal system is trigonal.

It has space group R-3m (No. 166, hexagonal axes), with a = 2.9635 Å, b = 2.9635 Å, c = 31.8944 Å, α = 90.00°, β = 90.00° and γ = 120.00°. The distinct sites, in fractional coordinates, are Ce at (0.0000, 0.0000, 0.0930), Be at (0.0000, 0.0000, 0.0000) and Ru at (0.0000, 0.0000, 0.5000).

***

# 4
Ce3Be2Ru5 after structural relaxation, computed with PBE-GGA.

As for the formation energy: -37 kJ per mole of atoms. The crystal system is tetragonal.

It has space group P4/mbm (No. 127), with a = 9.819 Å, b = 9.819 Å, c = 3.371 Å, α = 90.00°, β = 90.00° and γ = 90.00°. The distinct sites, in fractional coordinates, are Ce at (0.000, 0.000, 0.000), Ce at (0.171, 0.329, 0.000), Be at (0.122, 0.622, 0.000), Ru at (0.000, 0.500, 0.500) and Ru at (0.074, 0.785, 0.500).

***

# 5
Ce2BeRu3 after structural relaxation, computed with PBE-GGA.

As for the excess energy over the best structure of this formula in the dataset: 0.34 eV/f.u. As for the formation energy: -29 kJ per mole of atoms. The crystal system is hexagonal.

It has space group P6_3/mmc (No. 194), with a = 5.5866 Å, b = 5.5866 Å, c = 7.5230 Å, α = 90.00°, β = 90.00° and γ = 120.00°. The distinct sites, in fractional coordinates, are Ce at (0.3333, 0.6667, 0.0535), Be at (0.0000, 0.0000, 0.0000) and Ru at (0.1630, 0.3259, 0.7500).

***

# 6
Ce2Be4Si3Ru after structural relaxation, computed with PBE-GGA.

Its raw formation energy is -430 meV per atom. The crystal system is tetragonal.

It has space group P-4m2 (No. 115), with a = 3.917 Å, b = 3.917 Å, c = 9.638 Å, α = 90.00°, β = 90.00° and γ = 90.00°. The distinct sites, in fractional coordinates, are Ce at (0.000, 0.500, 0.248), Be at (0.000, 0.000, 0.000), Be at (0.000, 0.500, 0.628), Be at (0.500, 0.500, 0.000), Si at (0.000, 0.500, 0.871), Si at (0.500, 0.500, 0.500) and Ru at (0.000, 0.000, 0.500).

***

# 7
Ce2UBeRu6 after structural relaxation, computed with PBE-GGA.

As for the formation energy: 13 kJ per mole of atoms. The crystal system is cubic.

It has space group Fm-3m (No. 225), with a = 9.039 Å, b = 9.039 Å, c = 9.039 Å, α = 90.00°, β = 90.00° and γ = 90.00°. The distinct sites, in fractional coordinates, are Ce at (0.250, 0.250, 0.250), U at (0.000, 0.000, 0.000), Be at (0.000, 0.000, 0.500) and Ru at (0.000, 0.000, 0.268).

***

# 8
CeBeS2 after structural relaxation, computed with PBE-GGA.

Its raw formation energy is -491 meV per atom. The crystal system is trigonal.

It has space group R-3m (No. 166, hexagonal axes), with a = 3.5490 Å, b = 3.5490 Å, c = 22.6162 Å, α = 90.00°, β = 90.00° and γ = 120.00°. The distinct sites, in fractional coordinates, are Ce at (0.0000, 0.0000, 0.0000), Be at (0.0000, 0.0000, 0.5000) and S at (0.0000, 0.0000, 0.1151).

***

# 9
CeBeS after structural relaxation, computed with PBE-GGA.

Its raw formation energy is -1121 meV per atom. The crystal system is orthorhombic.

It has space group Cmcm (No. 63), with a = 3.863 Å, b = 14.595 Å, c = 4.042 Å, α = 90.00°, β = 90.00° and γ = 90.00°. The distinct sites, in fractional coordinates, are Ce at (0.000, 0.129, 0.250), Be at (0.000, 0.470, 0.250) and S at (0.000, 0.331, 0.250).

***

# 10
Ce2BeS after structural relaxation, computed with PBE-GGA.

Its raw formation energy is -77 meV per atom. The crystal system is trigonal.

It has space group R-3m (No. 166, hexagonal axes), with a = 3.6584 Å, b = 3.6584 Å, c = 28.5818 Å, α = 90.00°, β = 90.00° and γ = 120.00°. The distinct sites, in fractional coordinates, are Ce at (0.0000, 0.0000, 0.1050), Be at (0.0000, 0.0000, 0.0000) and S at (0.0000, 0.0000, 0.5000).

***

# 11
Ce2BeS3 after structural relaxation, computed with PBE-GGA.

Its raw formation energy is -1512 meV per atom. The crystal system is orthorhombic.

It has space group Immm (No. 71), with a = 3.913 Å, b = 4.192 Å, c = 14.718 Å, α = 90.00°, β = 90.00° and γ = 90.00°. The distinct sites, in fractional coordinates, are Ce at (0.000, 0.000, 0.138), Be at (0.000, 0.000, 0.500), S at (0.000, 0.000, 0.334) and S at (0.000, 0.500, 0.500).

***

# 12
CeSc2Be after structural relaxation, computed with PBE-GGA.

As for the excess energy over the best structure of this formula in the dataset: 0.00 eV/f.u. As for the formation energy: 4 kJ per mole of atoms. The crystal system is tetragonal.

It has space group P4/mmm (No. 123), with a = 3.189 Å, b = 3.189 Å, c = 8.312 Å, α = 90.00°, β = 90.00° and γ = 90.00°. The distinct sites, in fractional coordinates, are Ce at (0.000, 0.000, 0.000), Sc at (0.500, 0.500, 0.314) and Be at (0.000, 0.000, 0.500).